Below is a relaxed ScSe2Cl crystal, with properties calculated at the GGA-PBE level.

CIF file:
```
data_ScSe2Cl
_chemical_formula_sum 'Sc2 Se4 Cl2'
_space_group_name_H-M_alt 'C 1 2/m 1'
_space_group_IT_number 12
_cell_length_a 10.1438
_cell_length_b 3.5182
_cell_length_c 5.1497
_cell_angle_alpha 90.00
_cell_angle_beta 101.59
_cell_angle_gamma 90.00
loop_
_space_group_symop_operation_xyz
'x,y,z'
'-x,-y,-z'
'-x,y,-z'
'x,-y,z'
'x+1/2,y+1/2,z'
'-x+1/2,-y+1/2,-z'
'-x+1/2,y+1/2,-z'
'x+1/2,-y+1/2,z'
loop_
_atom_site_label
_atom_site_type_symbol
_atom_site_fract_x
_atom_site_fract_y
_atom_site_fract_z
Sc1 Sc 0.0000 0.0000 0.0000
Se1 Se 0.1998 0.5000 0.1793
Cl1 Cl 0.0000 0.5000 0.5000
```

Values from the calculation:
Formation energy (no corrections) in eV per atom: -0.8781
Density of states at the Fermi level in states/eV per cell: 1.74
Magnetic moment in μB per formula unit: 0.00